# 1
Entry from Alexandria via LeMat-Bulk: a geometry-optimized PmPrTeAu structure (PBE-GGA).

a b c (Å): 8.0399 8.0399 8.0399
angles (deg): 31.10 31.10 31.10
Closest atoms and distances in Å follow each position.
Fractional positions:
Pm 0.0000 0.0000 0.0000  3 Au 3.04, 3 Te 3.19
Pr 0.5106 0.5106 0.5106  3 Au 3.09, 3 Te 3.23
Te 0.7539 0.7539 0.7539  3 Pm 3.19, 3 Pr 3.23
Au 0.2569 0.2569 0.2569  3 Pm 3.04, 3 Pr 3.09

Its total energy is -5.05 eV/atom. The formation energy from raw total energies comes out at -1.0585 eV/atom. The density of states at the Fermi level is 4.11 states/eV/f.u.

# 2
Entry from Alexandria via LeMat-Bulk: a geometry-optimized PmPrTlAu structure (PBE-GGA).

a b c (Å): 3.7349 3.7349 7.9851
angles (deg): 90.00 90.00 90.00
Closest atoms and distances in Å follow each position.
Fractional positions:
Pm 0.0000 0.0000 0.0000  4 Au 3.15, 4 Tl 3.39
Pr 0.0000 0.0000 0.4592  4 Au 3.28, 4 Tl 3.43, 1 Pm 3.67
Tl 0.5000 0.5000 0.7329  4 Pm 3.39, 4 Pr 3.43, 4 Tl 3.73
Au 0.5000 0.5000 0.2157  4 Pm 3.15, 4 Pr 3.28

Its total energy is -4.37 eV/atom. As for the energy of formation: -55.23 kJ/mol of atoms. The density of states at the Fermi level is 3.48 states/eV/f.u.

# 3
Entry from Alexandria via LeMat-Bulk: a geometry-optimized PmPrTlAu structure (PBE-GGA).

a b c (Å): 5.4083 5.4083 5.4083
angles (deg): 60.00 60.00 60.00
Closest atoms and distances in Å follow each position.
Fractional positions:
Pm 0.0000 0.0000 0.0000  4 Tl 3.31, 4 Au 3.31
Pr 0.5000 0.5000 0.5000  4 Tl 3.31, 4 Au 3.31
Tl 0.7500 0.7500 0.7500  4 Pr 3.31, 4 Pm 3.31
Au 0.2500 0.2500 0.2500  4 Pr 3.31, 4 Pm 3.31

Its total energy is -4.32 eV/atom. As for the energy of formation: -50.70 kJ/mol of atoms. The density of states at the Fermi level is 4.32 states/eV/f.u.

# 4
Entry from Alexandria via LeMat-Bulk: a geometry-optimized PmPtAu structure (PBE-GGA).

a b c (Å): 6.7015 5.5677 7.5836
angles (deg): 90.00 110.28 90.00
Closest atoms and distances in Å follow each position.
Fractional positions:
Pm 0.1949 0.1247 0.3736  5 Pt 2.91-3.11, 2 Au 3.18-3.20
Pm 0.1949 0.3753 0.8736  5 Pt 2.91-3.11, 2 Au 3.18-3.20
Pm 0.8051 0.6247 0.1264  5 Pt 2.91-3.11, 2 Au 3.18-3.20
Pm 0.8051 0.8753 0.6264  5 Pt 2.91-3.11, 2 Au 3.18-3.20
Pt 0.1636 0.6443 0.5126  1 Pt 2.67, 3 Au 2.73-2.89, 1 Pm 2.91
Pt 0.1636 0.8557 0.0126  1 Pt 2.67, 3 Au 2.73-2.89, 1 Pm 2.91
Pt 0.8364 0.1443 0.9874  1 Pt 2.67, 3 Au 2.73-2.89, 1 Pm 2.91
Pt 0.8364 0.3557 0.4874  1 Pt 2.67, 3 Au 2.73-2.89, 1 Pm 2.91
Au 0.4329 0.5868 0.2982  3 Pt 2.73-2.89, 1 Au 3.03
Au 0.4329 0.9132 0.7982  3 Pt 2.73-2.89, 1 Au 3.03
Au 0.5671 0.0868 0.2018  3 Pt 2.73-2.89, 1 Au 3.03
Au 0.5671 0.4132 0.7018  3 Pt 2.73-2.89, 1 Au 3.03

Its total energy is -5.59 eV/atom. As for the energy of formation: -87.18 kJ/mol of atoms. The density of states at the Fermi level is 1.58 states/eV/f.u.

Number 1: polymorph energy (0 for the lowest one) 0 meV per atom. Number 2: polymorph energy (0 for the lowest one) 0 meV per atom. Number 3: polymorph energy (0 for the lowest one) 47 meV per atom. Number 4: polymorph energy (0 for the lowest one) 12 meV per atom.